(1)
DFT (PBE-GGA) results for LuIrW after structural relaxation.

DFT formation energy	1.2341	eV per atom
total magnetic moment	2.42	μB/f.u.
symmetry	F-43m

Unit cell a=4.4911 b=4.4911 c=4.4911 alpha=60.00 beta=60.00 gamma=60.00
Closest atoms and distances in Å follow each position.
Element x y z (fractional)
Ir1 0.2500 0.2500 0.2500  4 Lu 2.75
Lu1 0.0000 0.0000 0.0000  4 Ir 2.75, 4 W 2.75
W1 0.7500 0.7500 0.7500  4 Lu 2.75

(2)
DFT (PBE-GGA) results for YLuIr2 after structural relaxation.

DFT formation energy	-0.2784	eV per atom
total magnetic moment	0.00	μB/f.u.
symmetry	F-43m

Unit cell a=4.7314 b=4.7314 c=4.7314 alpha=60.00 beta=60.00 gamma=60.00
Closest atoms and distances in Å follow each position.
Element x y z (fractional)
Ir1 0.0000 0.0000 0.0000  4 Ir 2.90, 4 Y 2.90
Ir2 0.7500 0.7500 0.7500  4 Ir 2.90, 4 Lu 2.90
Lu1 0.5000 0.5000 0.5000  4 Ir 2.90, 4 Y 2.90
Y1 0.2500 0.2500 0.2500  4 Lu 2.90, 4 Ir 2.90

(3)
DFT (PBE-GGA) results for LuZnIr after structural relaxation.

DFT formation energy	-0.5284	eV per atom
total magnetic moment	0.00	μB/f.u.
symmetry	F-43m

Unit cell a=4.4634 b=4.4634 c=4.4634 alpha=60.00 beta=60.00 gamma=60.00
Closest atoms and distances in Å follow each position.
Element x y z (fractional)
Ir1 0.0000 0.0000 0.0000  4 Lu 2.73, 4 Zn 2.73
Lu1 0.2500 0.2500 0.2500  4 Ir 2.73
Zn1 0.7500 0.7500 0.7500  4 Ir 2.73